# Er2CdCo2 PBE relaxed
# DFT formation energy = -1.4 eV/f.u.
# volume = 202 Å³ per cell
# energy = -25.68 eV/f.u.
data_Er2CdCo2
_cell_length_a 3.821
_cell_length_b 13.619
_cell_length_c 3.882
_cell_angle_alpha 90.00
_cell_angle_beta 90.00
_cell_angle_gamma 90.00
_space_group_name_H-M_alt 'C m m m'
_space_group_IT_number 65
_space_group_name_Hall '-C 2 2'
loop_
_atom_site_label
_atom_site_fract_x
_atom_site_fract_y
_atom_site_fract_z
Er1 0.000 0.139 0.000
Cd1 0.000 0.500 0.500
Co1 0.000 0.293 0.500